Material: NdZnCuRh
Method: DFT, PBE
State: relaxed

Density in g/cm³: 8.48
ΔH_f (0 K) in eV per atom: -0.258
ΔE to the lowest computed polymorph in meV/atom: 167

Lattice parameters (Å, degrees): 4.7059 4.7059 4.7059 60.00 60.00 60.00
Positions (direct):
Nd 0.0000 0.0000 0.0000
Zn 0.5000 0.5000 0.5000
Cu 0.2500 0.2500 0.2500
Rh 0.7500 0.7500 0.7500

Material: K2PRhBr
Method: DFT, PBE
State: relaxed

Density in g/cm³: 2.40

Lattice parameters (Å, degrees): 6.3122 6.3122 5.0806 90.00 90.00 90.00
Positions (direct):
K 0.0000 0.5000 0.0000
K 0.5000 0.0000 0.0000
P 0.0000 0.0000 0.0000
Rh 0.5000 0.5000 0.5000
Br 0.0000 0.0000 0.5000

Material: LiMg8
Method: DFT, PBE
State: relaxed

Density in g/cm³: 1.64
ΔH_f (0 K) in eV per atom: 0.014
ΔE to the lowest computed polymorph in meV/atom: 13

Lattice parameters (Å, degrees): 8.1082 8.1082 8.1082 92.26 92.26 157.07
Positions (direct):
Li 0.0000 0.0000 0.0000
Mg 0.0000 0.3335 0.3335
Mg 0.0000 0.6665 0.6665
Mg 0.3335 0.0000 0.3335
Mg 0.3368 0.3368 0.6736
Mg 0.3368 0.6632 0.0000
Mg 0.6632 0.3368 0.0000
Mg 0.6632 0.6632 0.3264
Mg 0.6665 0.0000 0.6665

| no. | DFT total energy (eV/cell) |
| --- | --- |
| 1 | -18.52 |
| 2 | -13.37 |
| 3 | -14.55 |